1.
The following is a PBE calculation of a relaxed structure of ZnCu12Ni7, from the Alexandria database.

Structure (CIF):
```
data_ZnCu12Ni7
_cell_length_a 10.6330
_cell_length_b 10.6330
_cell_length_c 7.3538
_cell_angle_alpha 90.00
_cell_angle_beta 90.00
_cell_angle_gamma 120.00
_space_group_name_H-M_alt 'R -3'
_space_group_IT_number 148
_space_group_name_Hall '-R 3'
loop_
_atom_site_label
_atom_site_fract_x
_atom_site_fract_y
_atom_site_fract_z
Zn1 0.0000 0.0000 0.0000
Cu1 0.0496 0.2443 0.5774
Cu2 0.0508 0.2051 0.2497
Ni1 0.0000 0.0000 0.5000
Ni2 0.0651 0.2480 0.9215
```

VASP energy   -0.327 Ry per atom
Crystal system   trigonal

***

2.
The following is a PBE calculation of a relaxed structure of Ta2Nb2Pt, from the Alexandria database.

Structure (CIF):
```
data_Ta2Nb2Pt
_cell_length_a 3.669
_cell_length_b 3.669
_cell_length_c 14.302
_cell_angle_alpha 90.00
_cell_angle_beta 90.00
_cell_angle_gamma 90.00
_space_group_name_H-M_alt 'I 4/m m m'
_space_group_IT_number 139
_space_group_name_Hall '-I 4 2'
loop_
_atom_site_label
_atom_site_fract_x
_atom_site_fract_y
_atom_site_fract_z
Ta1 0.000 0.000 0.088
Nb1 0.000 0.500 0.250
Pt1 0.000 0.000 0.500
```

VASP energy   -0.689 Ry per atom
Crystal system   tetragonal
Energy above the most stable polymorph in this dataset   578 meV/atom